Run 1
# Tc2IrSe2

A relaxed Tc2IrSe2 crystal (PBE, the Alexandria database).

Structure (extended XYZ):
```
5
Lattice="-0.6430 3.6312 -1.0996 -3.7906 -0.5675 0.3426 -1.9792 3.2141 5.0376" Properties=species:S:1:pos:R:3 pbc="T T T"
Ir 0.0000 0.0000 0.0000
Tc -2.1660 1.8919 0.7807
Tc -4.2469 4.3859 3.4998
Se -2.4195 4.1886 1.7797
Se -3.9933 2.0892 2.5008
```

Run 2
# Tc2IrSe2

A relaxed Tc2IrSe2 crystal (PBE, the Alexandria database).

Structure (extended XYZ):
```
10
Lattice="-0.8817 5.4845 4.5124 -6.3559 -2.6384 1.9649 1.3681 -1.6254 2.2428" Properties=species:S:1:pos:R:3 pbc="T T T"
Ir 0.0000 0.0000 0.0000
Ir -3.6188 1.4230 3.2386
Tc -5.7557 -0.3055 3.2895
Tc -4.8470 2.9970 5.1285
Tc -1.4818 3.1516 3.1878
Tc -2.3906 -0.1509 1.3488
Se -3.5809 -1.7044 3.0767
Se -5.2905 0.5111 5.7251
Se -2.2886 2.9251 5.6434
Se -0.5790 0.7096 2.9950
```

run 2 is the most stable structure; the next one sits 114 meV/atom above it.

Run 1
# TcIrSe4

A relaxed TcIrSe4 crystal (PBE, the Alexandria database).

Structure (extended XYZ):
```
6
Lattice="0.0000 3.8754 3.8754 3.8754 0.0000 3.8754 3.8754 3.8754 0.0000" Properties=species:S:1:pos:R:3 pbc="T T T"
Tc 5.8132 5.8132 5.8132
Ir 0.0000 0.0000 0.0000
Se 2.8994 4.8515 4.8515
Se 4.8515 4.8515 2.8994
Se 4.8515 2.8994 4.8515
Se 2.8994 2.8994 2.8994
```

Run 2
# TcIrSe4

A relaxed TcIrSe4 crystal (PBE, the Alexandria database).

Structure (extended XYZ):
```
6
Lattice="3.6467 -0.0031 -0.0008 -1.8196 6.4371 -1.1745 0.0016 0.0349 5.8599" Properties=species:S:1:pos:R:3 pbc="T T T"
Tc 1.8241 0.0368 2.6005
Ir 1.8272 6.4186 -0.9262
Se 1.8270 5.2292 2.7068
Se 0.0019 1.6697 2.0532
Se 0.0026 4.7580 -0.2416
Se 1.8258 1.2749 4.9304
```

run 2 is the most stable structure; the next one sits 1774 meV/atom above it.

Run 1
# TeIrSe3

A relaxed TeIrSe3 crystal (PBE, the Alexandria database).

Structure (extended XYZ):
```
20
Lattice="6.4360 0.0000 0.0000 0.0000 10.3709 -5.1611 0.0000 -2.2510 9.0019" Properties=species:S:1:pos:R:3 pbc="T T T"
Te 2.3802 4.0354 -1.9154
Te 4.0558 4.0845 5.7563
Te 5.5982 0.0246 3.8359
Te 0.8378 8.0953 0.0050
Ir 4.8041 5.0413 1.7282
Ir 1.6319 3.0785 2.1127
Ir 1.5861 7.1384 4.0331
Ir 4.8499 0.9814 -0.1923
Se 6.0621 3.1164 0.5834
Se 0.3738 5.0034 3.2574
Se 2.8441 0.9435 1.3370
Se 3.5918 7.1763 2.5038
Se 2.5661 4.8364 0.6639
Se 3.8699 3.2835 3.1769
Se 5.7840 9.5944 -3.9046
Se 0.6519 -1.4746 7.7454
Se 5.5928 6.2248 -0.3003
Se 0.8431 1.8951 4.1411
Se 2.3749 8.2060 -2.9403
Se 4.0611 -0.0862 6.7812
```

Run 2
# TeIrSe3

A relaxed TeIrSe3 crystal (PBE, the Alexandria database).

Structure (extended XYZ):
```
5
Lattice="-2.8987 3.9308 0.5793 -3.0329 -2.6523 2.8206 2.5667 1.3051 3.9872" Properties=species:S:1:pos:R:3 pbc="T T T"
Ir 0.0000 0.0000 0.0000
Te -1.6825 1.2918 3.6936
Se -1.5165 -1.3262 1.4103
Se 1.2834 0.6526 1.9936
Se -1.4494 1.9654 0.2897
```

run 1 is the most stable structure; the next one sits 523 meV/atom above it.

Run 1
# TeIr2Se2

A relaxed TeIr2Se2 crystal (PBE, the Alexandria database).

Structure (extended XYZ):
```
10
Lattice="-4.3528 -6.1293 3.0583 1.6208 -4.4422 -6.5960 2.4508 -1.0778 1.3281" Properties=species:S:1:pos:R:3 pbc="T T T"
Ir 1.7044 -4.0423 -3.0631
Ir -0.0548 -8.2504 -3.2318
Ir -1.9856 -7.6070 0.8534
Ir -0.2264 -3.3989 1.0222
Te 0.0000 0.0000 0.0000
Te -1.3660 -5.2857 -1.7689
Se -0.1695 -6.0129 -4.5669
Se -2.6982 -8.1120 -1.6041
Se -2.5625 -4.5586 1.0292
Se -0.0338 -2.4595 -1.9336
```

Run 2
# TeIr2Se2

A relaxed TeIr2Se2 crystal (PBE, the Alexandria database).

Structure (extended XYZ):
```
5
Lattice="3.8721 0.0000 0.0000 0.0000 3.8721 0.0000 1.9360 1.9360 8.1622" Properties=species:S:1:pos:R:3 pbc="T T T"
Ir 3.8721 1.9360 4.0811
Ir 1.9360 3.8721 4.0811
Te 0.0000 0.0000 0.0000
Se 1.9360 1.9360 2.5325
Se 3.8721 3.8721 5.6297
```

run 2 is the most stable structure; the next one sits 456 meV/atom above it.

Run 1
# Te4IrSe

A relaxed Te4IrSe crystal (PBE, the Alexandria database).

Structure (extended XYZ):
```
6
Lattice="-5.1904 -2.6729 1.8031 -4.9078 3.4082 1.2782 -4.8414 -0.0966 -3.7265" Properties=species:S:1:pos:R:3 pbc="T T T"
Te -8.1964 -1.0948 0.6580
Te -8.0221 0.1914 -2.1025
Te -8.0553 1.9410 0.3960
Te -5.6053 0.2396 -0.2421
Ir -11.2046 0.4790 -0.4840
Se 0.0000 0.0000 0.0000
```

Run 2
# Te4IrSe

A relaxed Te4IrSe crystal (PBE, the Alexandria database).

Structure (extended XYZ):
```
12
Lattice="6.6514 0.0000 -0.8154 0.0000 6.5008 0.0000 -0.7411 0.0000 7.7776" Properties=species:S:1:pos:R:3 pbc="T T T"
Te 5.8715 4.0519 0.5199
Te 3.3646 0.8015 6.0346
Te 1.9610 2.4064 2.8610
Te 0.6236 5.6568 4.5089
Te 0.0389 2.4489 6.4423
Te 2.5457 5.6993 0.9275
Te 3.9493 4.0943 4.1012
Te 5.2867 0.8439 2.4533
Ir 2.9552 0.0000 3.4811
Ir -0.3706 3.2504 3.8888
Se 0.0000 0.0000 0.0000
Se 3.3257 3.2504 -0.4077
```

run 2 is the most stable structure; the next one sits 1240 meV/atom above it.

Run 1
# TlIr2Se

A relaxed TlIr2Se crystal (PBE, the Alexandria database).

Structure (extended XYZ):
```
4
Lattice="2.9951 0.0000 0.0000 0.0000 3.9142 0.0000 0.0000 0.0000 6.3602" Properties=species:S:1:pos:R:3 pbc="T T T"
Ir 0.0000 0.0000 0.1755
Ir 1.4976 1.9571 1.7467
Se 0.0000 0.0000 2.5925
Tl 1.4976 1.9571 5.0256
```

Run 2
# TlIr2Se

A relaxed TlIr2Se crystal (PBE, the Alexandria database).

Structure (extended XYZ):
```
4
Lattice="8.6435 0.0218 0.0129 8.0833 3.0610 0.0129 8.0833 1.4898 2.6740" Properties=species:S:1:pos:R:3 pbc="T T T"
Ir 24.6434 4.5419 2.6816
Ir 12.5718 2.3170 1.3680
Se 6.2025 1.1432 0.6749
Tl 18.6076 3.4295 2.0248
```

run 1 is the most stable structure; the next one sits 127 meV/atom above it.

Run 1
# TlIr2Se

A relaxed TlIr2Se crystal (PBE, the Alexandria database).

Structure (extended XYZ):
```
4
Lattice="3.0812 0.0000 0.0000 0.0000 5.2773 0.0295 0.0000 3.6483 4.3457" Properties=species:S:1:pos:R:3 pbc="T T T"
Ir 0.0000 0.0000 0.0000
Ir 1.5406 2.6386 0.0148
Se 1.5406 4.4628 2.1876
Tl 0.0000 1.8242 2.1729
```

Run 2
# TlIr2Se

A relaxed TlIr2Se crystal (PBE, the Alexandria database).

Structure (extended XYZ):
```
4
Lattice="4.6683 0.0000 0.0000 2.3341 4.0428 0.0000 2.3341 1.3476 3.8116" Properties=species:S:1:pos:R:3 pbc="T T T"
Ir 0.0000 0.0000 0.0000
Ir 7.0024 4.0428 2.8587
Se 4.6683 2.6952 1.9058
Tl 2.3341 1.3476 0.9529
```

Run 3
# TlIr2Se

A relaxed TlIr2Se crystal (PBE, the Alexandria database).

Structure (extended XYZ):
```
4
Lattice="0.0000 3.2748 3.2748 3.2748 0.0000 3.2748 3.2748 3.2748 0.0000" Properties=species:S:1:pos:R:3 pbc="T T T"
Tl 3.2748 3.2748 3.2748
Ir 1.6374 1.6374 1.6374
Ir 4.9121 4.9121 4.9121
Se 0.0000 0.0000 0.0000
```

run 1 is the most stable structure; the next one sits 173 meV/atom above it.

Run 1
# TlIrSe4

A relaxed TlIrSe4 crystal (PBE, the Alexandria database).

Structure (extended XYZ):
```
12
Lattice="6.5647 -2.5589 -2.9767 -4.1108 8.6947 -1.4642 -1.9668 1.0466 8.5377" Properties=species:S:1:pos:R:3 pbc="T T T"
Tl -1.9101 5.0252 1.1090
Tl 2.3970 2.1572 2.9879
Ir 4.9369 -1.8907 -2.2497
Ir -4.4500 9.0732 6.3466
Se 0.0871 2.5000 0.7754
Se 2.4477 5.0472 -3.2351
Se -3.0241 6.6552 3.7028
Se 3.5110 0.5272 0.3942
Se 0.3998 4.6824 3.3215
Se 0.7561 0.3189 5.6207
Se -0.2692 6.8635 -1.5238
Se -1.9608 2.1352 7.3320
```

Run 2
# TlIrSe4

A relaxed TlIrSe4 crystal (PBE, the Alexandria database).

Structure (extended XYZ):
```
6
Lattice="0.0000 4.0316 4.0316 4.0316 0.0000 4.0316 4.0316 4.0316 0.0000" Properties=species:S:1:pos:R:3 pbc="T T T"
Tl 6.0474 6.0474 6.0474
Ir 0.0000 0.0000 0.0000
Se 2.9994 5.0638 5.0638
Se 5.0638 5.0638 2.9994
Se 5.0638 2.9994 5.0638
Se 2.9994 2.9994 2.9994
```

run 1 is the most stable structure; the next one sits 1108 meV/atom above it.

Run 1
# TlIr2Se2

A relaxed TlIr2Se2 crystal (PBE, the Alexandria database).

Structure (extended XYZ):
```
10
Lattice="-5.5961 3.1127 4.5438 -4.7742 0.4887 -6.2145 -1.0748 -2.8146 0.6044" Properties=species:S:1:pos:R:3 pbc="T T T"
Tl 0.0000 0.0000 0.0000
Tl -5.1851 1.8007 -0.8353
Ir -6.2681 1.5921 -3.7325
Ir -7.8798 3.0270 0.0837
Ir -4.1022 2.0092 2.0618
Ir -2.4904 0.5743 -1.7543
Se -4.4504 -0.6330 -3.0509
Se -8.2306 1.0238 -2.0574
Se -6.9947 1.4198 1.9846
Se -3.2145 -0.2371 0.9911
```

Run 2
# TlIr2Se2

A relaxed TlIr2Se2 crystal (PBE, the Alexandria database).

Structure (extended XYZ):
```
5
Lattice="4.6559 0.0000 0.0000 0.0000 4.6559 0.0000 2.3279 2.3279 4.6995" Properties=species:S:1:pos:R:3 pbc="T T T"
Tl 0.0000 0.0000 0.0000
Ir 2.3279 2.3279 1.3092
Ir 4.6559 4.6559 3.3903
Se 4.6559 2.3279 2.3497
Se 2.3279 4.6559 2.3497
```

run 2 is the most stable structure; the next one sits 237 meV/atom above it.

Run 1
# UIrSe4

A relaxed UIrSe4 crystal (PBE, the Alexandria database).

Structure (extended XYZ):
```
12
Lattice="-2.2199 -1.7336 2.6786 -1.9617 -3.8257 -4.1018 9.8187 -9.8247 1.7789" Properties=species:S:1:pos:R:3 pbc="T T T"
U 2.8185 -7.6920 0.1779
U 0.0000 0.0000 0.0000
Ir 4.9094 -4.9124 0.8895
Ir -2.0908 -2.7796 -0.7116
Se 2.4138 -5.3055 1.3870
Se 0.4047 -2.3865 -1.2091
Se 3.2233 -10.0785 -1.0313
Se 5.2324 -12.9975 1.5648
Se 2.3292 -6.4370 -2.2356
Se -1.4724 -5.0807 -1.6883
Se 3.3079 -8.9470 2.5913
Se 7.1095 -10.3033 2.0440
```

Run 2
# UIrSe4

A relaxed UIrSe4 crystal (PBE, the Alexandria database).

Structure (extended XYZ):
```
12
Lattice="-4.9116 3.2308 4.4863 -0.6141 -7.1479 -1.7942 6.3673 0.3716 3.7429" Properties=species:S:1:pos:R:3 pbc="T T T"
U -1.3298 -0.9427 0.6479
U -1.9834 -0.1208 5.4355
Ir -4.1233 -2.9230 2.0089
Ir 0.1347 -5.3319 2.3102
Se 2.5639 -5.7653 2.0702
Se 0.6114 -0.5976 5.1852
Se -2.5475 -1.2955 3.0160
Se -0.2661 -6.3527 -0.0564
Se 3.2417 -2.3546 3.4908
Se 0.5683 -4.2878 4.6608
Se -1.8438 2.2944 4.3536
Se 0.2791 -3.0741 1.2963
```

run 1 is the most stable structure; the next one sits 259 meV/atom above it.

Run 1
# V3IrSe

A relaxed V3IrSe crystal (PBE, the Alexandria database).

Structure (extended XYZ):
```
5
Lattice="4.3971 0.0000 0.0000 0.0000 4.3971 0.0000 0.0000 0.0000 4.3971" Properties=species:S:1:pos:R:3 pbc="T T T"
Ir 2.1985 2.1985 2.1985
Se 0.0000 0.0000 0.0000
V 0.0000 2.1985 0.0000
V 0.0000 0.0000 2.1985
V 2.1985 0.0000 0.0000
```

Run 2
# V3IrSe

A relaxed V3IrSe crystal (PBE, the Alexandria database).

Structure (extended XYZ):
```
5
Lattice="4.7087 0.0000 0.0000 0.0000 4.7087 0.0000 0.0000 0.0000 4.7087" Properties=species:S:1:pos:R:3 pbc="T T T"
Ir 0.0000 0.0000 0.0000
Se 2.3544 2.3544 2.3544
V 0.0000 2.3544 0.0000
V 0.0000 0.0000 2.3544
V 2.3544 0.0000 0.0000
```

run 1 is the most stable structure; the next one sits 86 meV/atom above it.

Run 1
# IrWSe2

A relaxed IrWSe2 crystal (PBE, the Alexandria database).

Structure (extended XYZ):
```
8
Lattice="5.6428 0.0000 0.0000 0.0000 5.6428 0.0000 2.8214 2.8214 5.5160" Properties=species:S:1:pos:R:3 pbc="T T T"
Ir 0.0000 0.0000 0.0000
Ir 5.6428 2.8214 2.7580
Se 4.2407 1.4107 1.3790
Se 1.4021 4.2321 1.3790
Se 4.2321 4.2236 4.1370
Se 7.0535 7.0621 4.1370
W 2.8214 2.8214 0.0000
W 2.8214 5.6428 2.7580
```

Run 2
# IrWSe2

A relaxed IrWSe2 crystal (PBE, the Alexandria database).

Structure (extended XYZ):
```
4
Lattice="2.9789 -0.0145 0.0000 -1.4322 2.6120 0.0000 0.0000 0.0000 8.7512" Properties=species:S:1:pos:R:3 pbc="T T T"
Ir 0.7733 1.2987 6.5634
Se 0.0000 0.0000 0.0453
Se 0.0000 0.0000 4.3303
W 0.7733 1.2987 2.1878
```

Run 3
# IrWSe2

A relaxed IrWSe2 crystal (PBE, the Alexandria database).

Structure (extended XYZ):
```
4
Lattice="-2.7338 -1.0538 0.3481 0.5442 -2.0794 -2.0213 2.8991 -5.4211 6.3573" Properties=species:S:1:pos:R:3 pbc="T T T"
Ir 0.9862 -5.4579 3.7267
Se 2.7031 -5.0546 5.9275
Se -0.1252 -3.3796 1.2895
W 1.4941 -2.7938 3.2763
```

run 3 is the most stable structure; the next one sits 491 meV/atom above it.